Nd2DyIn3Pt2Au | the Open Quantum Materials Database | PBE | optimized geometry; mass density = 11.0 g/cm3
1.0
3.9801 0.0000 0.0000
0.0000 6.7333 3.9091
0.0000 -6.7333 3.9091
Nd Dy In Pt Au
2 1 3 2 1
direct
0.0000 0.2050 0.7950
0.0000 0.7950 0.2050
0.0000 0.3838 0.3838
0.5000 0.0584 0.0584
0.5000 0.5305 0.7921
0.5000 0.7921 0.5305
0.5000 0.1336 0.4589
0.5000 0.4589 0.1336
0.0000 0.7906 0.7906

Dy3In3NiAu2 | the Open Quantum Materials Database | PBE | optimized geometry; mass density = 10.7 g/cm3
1.0
7.7312 0.0000 0.0000
-3.8656 6.6954 0.0000
0.0000 0.0000 3.8365
Dy In Ni Au
3 3 1 2
direct
0.0000 0.5957 0.0000
0.4043 0.4043 0.0000
0.5957 0.0000 0.0000
0.0000 0.2453 0.5000
0.2453 0.0000 0.5000
0.7547 0.7547 0.5000
0.0000 0.0000 0.0000
0.3333 0.6667 0.5000
0.6667 0.3333 0.5000

Tb2DyIn3Ni2Au | the Open Quantum Materials Database | PBE | optimized geometry; mass density = 9.8 g/cm3
1.0
3.9278 0.0000 0.0000
0.0000 6.5337 3.7723
0.0000 -6.5337 3.7723
Tb Dy In Ni Au
2 1 3 2 1
direct
0.0000 0.2044 0.7956
0.0000 0.7956 0.2044
0.0000 0.3866 0.3866
0.5000 0.0681 0.0681
0.5000 0.5229 0.7950
0.5000 0.7950 0.5229
0.5000 0.1291 0.4618
0.5000 0.4618 0.1291
0.0000 0.7949 0.7949

Dy2TmIn3Ni2Au | the Open Quantum Materials Database | PBE | optimized geometry; mass density = 10.0 g/cm3
1.0
3.8909 0.0000 0.0000
0.0000 6.5134 3.7624
0.0000 -6.5134 3.7624
Dy Tm In Ni Au
2 1 3 2 1
direct
0.0000 0.2034 0.7966
0.0000 0.7966 0.2034
0.0000 0.3888 0.3888
0.5000 0.0709 0.0709
0.5000 0.5211 0.7949
0.5000 0.7949 0.5211
0.5000 0.1306 0.4617
0.5000 0.4617 0.1306
0.0000 0.7941 0.7941

Dy3In3Pd2Au | the Open Quantum Materials Database | PBE | optimized geometry; mass density = 10.2 g/cm3
1.0
7.7177 0.0000 0.0000
-3.8588 6.6837 0.0000
0.0000 0.0000 3.9217
Dy In Pd Au
3 3 2 1
direct
0.0000 0.4072 0.0000
0.4072 0.0000 0.0000
0.5928 0.5928 0.0000
0.0000 0.7336 0.5000
0.2664 0.2664 0.5000
0.7336 0.0000 0.5000
0.3333 0.6667 0.5000
0.6667 0.3333 0.5000
0.0000 0.0000 0.0000

Dy3In3PdAu2 | the Open Quantum Materials Database | PBE | optimized geometry; mass density = 10.8 g/cm3
1.0
7.7752 0.0000 0.0000
-3.8876 6.7335 0.0000
0.0000 0.0000 3.9142
Dy In Pd Au
3 3 1 2
direct
0.0000 0.4053 0.0000
0.4053 0.0000 0.0000
0.5947 0.5947 0.0000
0.0000 0.7442 0.5000
0.2558 0.2558 0.5000
0.7442 0.0000 0.5000
0.0000 0.0000 0.0000
0.3333 0.6667 0.5000
0.6667 0.3333 0.5000

Calculated values (eV per atom) of electronic total energy for the records, taken in order: -5.08; -4.49; -4.61; -4.58; -4.74; -4.54.